A relaxed structure of Hf2Co2SbAs, computed with GGA-PBE.

Geometry as CIF:
```
data_Hf2Co2SbAs
_chemical_formula_sum 'Hf8 Co8 Sb4 As4'
_cell_length_a 10.5636
_cell_length_b 4.0435
_cell_length_c 11.3299
_cell_angle_alpha 90.00
_cell_angle_beta 113.51
_cell_angle_gamma 90.00
_space_group_name_H-M_alt 'P 1'
_space_group_IT_number 1
_space_group_name_Hall 'P 1'
loop_
_atom_site_label
_atom_site_type_symbol
_atom_site_fract_x
_atom_site_fract_y
_atom_site_fract_z
_atom_site_occupancy
Hf1 Hf 0.0000 0.0000 0.0000 1
Hf2 Hf 0.0009 0.5000 0.3878 1
Hf3 Hf 0.2829 0.5000 0.9508 1
Hf4 Hf 0.3904 0.5000 0.4559 1
Hf5 Hf 0.4526 0.0000 0.6829 1
Hf6 Hf 0.6364 0.0000 0.2441 1
Hf7 Hf 0.6642 0.0000 0.5561 1
Hf8 Hf 0.7115 0.5000 0.9570 1
Co1 Co 0.1595 0.0000 0.4975 1
Co2 Co 0.1839 0.5000 0.1389 1
Co3 Co 0.2651 0.0000 0.7932 1
Co4 Co 0.4575 0.0000 0.3468 1
Co5 Co 0.5598 0.5000 0.0953 1
Co6 Co 0.5912 0.5000 0.6678 1
Co7 Co 0.7089 0.0000 0.8191 1
Co8 Co 0.9037 0.5000 0.5990 1
Sb1 Sb 0.0242 0.0000 0.7566 1
Sb2 Sb 0.1934 0.0000 0.2926 1
Sb3 Sb 0.2259 0.5000 0.6483 1
Sb4 Sb 0.5058 0.0000 0.9571 1
As1 As 0.4390 0.5000 0.2275 1
As2 As 0.8293 0.5000 0.7808 1
As3 As 0.8743 0.0000 0.4629 1
As4 As 0.9538 0.5000 0.1411 1
```

Final energy (eV for the cell shown): -179.256

=====

A relaxed structure of LaNdTlCu2, computed with GGA-PBE.

Geometry as CIF:
```
data_LaNdTlCu2
_chemical_formula_sum 'La1 Nd1 Tl1 Cu2'
_cell_length_a 3.7980
_cell_length_b 7.6538
_cell_length_c 7.6538
_cell_angle_alpha 33.06
_cell_angle_beta 90.00
_cell_angle_gamma 90.00
_space_group_name_H-M_alt 'P 1'
_space_group_IT_number 1
_space_group_name_Hall 'P 1'
loop_
_atom_site_label
_atom_site_type_symbol
_atom_site_fract_x
_atom_site_fract_y
_atom_site_fract_z
_atom_site_occupancy
La1 La 0.0000 0.0000 0.0000 1
Nd1 Nd 0.0000 0.7337 0.7337 1
Tl1 Tl 0.5000 0.3650 0.3650 1
Cu1 Cu 0.5000 0.1642 0.1642 1
Cu2 Cu 0.5000 0.5731 0.5731 1
```

Final energy (eV for the cell shown): -20.945

=====

A relaxed structure of ZnGaCo4C2, computed with GGA-PBE.

Geometry as CIF:
```
data_ZnGaCo4C2
_chemical_formula_sum 'Zn1 Ga1 Co4 C2'
_cell_length_a 2.8629
_cell_length_b 2.8629
_cell_length_c 11.8544
_cell_angle_alpha 90.00
_cell_angle_beta 90.00
_cell_angle_gamma 120.00
_space_group_name_H-M_alt 'P 1'
_space_group_IT_number 1
_space_group_name_Hall 'P 1'
loop_
_atom_site_label
_atom_site_type_symbol
_atom_site_fract_x
_atom_site_fract_y
_atom_site_fract_z
_atom_site_occupancy
Zn1 Zn 0.0000 0.0000 0.0000 1
Ga1 Ga 0.6667 0.3333 0.5000 1
Co1 Co 0.0000 0.0000 0.3346 1
Co2 Co 0.0000 0.0000 0.6654 1
Co3 Co 0.6667 0.3333 0.1715 1
Co4 Co 0.6667 0.3333 0.8285 1
C1 C 0.3333 0.6667 0.2501 1
C2 C 0.3333 0.6667 0.7499 1
```

Final energy (eV for the cell shown): -51.024